VASP calculation (PBE+U) on a relaxed structure of Mn2PH2CO7.

a = 10.3367 Å, b = 6.5994 Å, c = 10.1947 Å
α = 90.00°, β = 116.33°, γ = 90.00°
Space group P2_1/c (No. 14)
Inequivalent atoms, fractional coordinates:
Mn  0.1165  0.1472  0.4736
Mn  0.2354  0.5233  0.7325
P  0.1020  0.6510  0.3935
H  0.2589  0.0252  0.7689
H  0.3756  0.1154  0.7216
C  0.4588  0.0453  0.5409
O  0.0445  0.0964  0.2382
O  0.0780  0.6730  0.9833
O  0.1580  0.0324  0.0024
O  0.2129  0.7003  0.3350
O  0.2784  0.1399  0.7157
O  0.3280  0.0902  0.4620
O  0.4735  0.5674  0.8214

Results
The total energy is -7.138 eV per atom. As for the crystal system: monoclinic.